# PBE-GGA KRe2Mo, optimized geometry
# distance to the lowest polymorph of the same formula = 125 meV/atom
# energy of formation from the pure elements = 3.47 eV/f.u.
data_KRe2Mo
_chemical_formula_sum 'K1 Re2 Mo1'
_cell_length_a 2.8047
_cell_length_b 2.8047
_cell_length_c 9.9686
_cell_angle_alpha 90.00
_cell_angle_beta 90.00
_cell_angle_gamma 90.00
_space_group_name_H-M_alt 'P 4 m m'
_space_group_IT_number 99
loop_
_space_group_symop_operation_xyz
'x,y,z'
'-y,x,z'
'-x,-y,z'
'y,-x,z'
'-x,y,z'
'y,x,z'
'x,-y,z'
'-y,-x,z'
loop_
_atom_site_label
_atom_site_fract_x
_atom_site_fract_y
_atom_site_fract_z
_atom_site_occupancy
K1 0.0000 0.0000 0.0000 1
Re1 0.0000 0.0000 0.5187 1
Re2 0.5000 0.5000 0.6989 1
Mo1 0.5000 0.5000 0.3239 1



# PBE-GGA KReMo2, optimized geometry
# distance to the lowest polymorph of the same formula = 92 meV/atom
# energy of formation from the pure elements = 3.31 eV/f.u.
data_KReMo2
_chemical_formula_sum 'K1 Re1 Mo2'
_cell_length_a 2.9206
_cell_length_b 3.9393
_cell_length_c 8.1106
_cell_angle_alpha 90.00
_cell_angle_beta 90.00
_cell_angle_gamma 90.00
_space_group_name_H-M_alt 'P m m m'
_space_group_IT_number 47
loop_
_space_group_symop_operation_xyz
'x,y,z'
'-x,-y,-z'
'-x,-y,z'
'x,y,-z'
'x,-y,-z'
'-x,y,z'
'-x,y,-z'
'x,-y,z'
loop_
_atom_site_label
_atom_site_fract_x
_atom_site_fract_y
_atom_site_fract_z
_atom_site_occupancy
K1 0.0000 0.0000 0.0000 1
Re1 0.0000 0.0000 0.5000 1
Mo1 0.5000 0.5000 0.3555 1



# PBE-GGA KReMo2, optimized geometry
# distance to the lowest polymorph of the same formula = 114 meV/atom
# energy of formation from the pure elements = 3.40 eV/f.u.
data_KReMo2
_chemical_formula_sum 'K3 Re3 Mo6'
_cell_length_a 2.8491
_cell_length_b 2.8491
_cell_length_c 32.2719
_cell_angle_alpha 90.00
_cell_angle_beta 90.00
_cell_angle_gamma 120.00
_space_group_name_H-M_alt 'R -3 m'
_space_group_IT_number 166
_space_group_name_Hall '-R 3 2"'
loop_
_atom_site_label
_atom_site_fract_x
_atom_site_fract_y
_atom_site_fract_z
_atom_site_occupancy
K1 0.0000 0.0000 0.0000 1
Re1 0.0000 0.0000 0.5000 1
Mo1 0.0000 0.0000 0.2347 1



# PBE-GGA KReMo2, optimized geometry
# distance to the lowest polymorph of the same formula = 866 meV/atom
# energy of formation from the pure elements = 6.40 eV/f.u.
data_KReMo2
_chemical_formula_sum 'K2 Re2 Mo4'
_cell_length_a 4.6287
_cell_length_b 4.6287
_cell_length_c 6.5331
_cell_angle_alpha 90.00
_cell_angle_beta 90.00
_cell_angle_gamma 90.00
_space_group_name_H-M_alt 'I -4 m 2'
_space_group_IT_number 119
_space_group_name_Hall 'I -4 -2'
loop_
_atom_site_label
_atom_site_fract_x
_atom_site_fract_y
_atom_site_fract_z
_atom_site_occupancy
K1 0.0000 0.0000 0.0000 1
Re1 0.0000 0.5000 0.2500 1
Mo1 0.0000 0.0000 0.5000 1
Mo2 0.0000 0.5000 0.7500 1



# PBE-GGA KRe2Mo, optimized geometry
# distance to the lowest polymorph of the same formula = 969 meV/atom
# energy of formation from the pure elements = 6.85 eV/f.u.
data_KRe2Mo
_chemical_formula_sum 'K1 Re2 Mo1'
_cell_length_a 5.2747
_cell_length_b 5.2747
_cell_length_c 2.6143
_cell_angle_alpha 90.00
_cell_angle_beta 90.00
_cell_angle_gamma 90.00
_space_group_name_H-M_alt 'P 4/m m m'
_space_group_IT_number 123
_space_group_name_Hall '-P 4 2'
loop_
_atom_site_label
_atom_site_fract_x
_atom_site_fract_y
_atom_site_fract_z
_atom_site_occupancy
K1 0.0000 0.0000 0.0000 1
Re1 0.0000 0.5000 0.5000 1
Mo1 0.5000 0.5000 0.0000 1



# PBE-GGA KReMo2, optimized geometry
# distance to the lowest polymorph of the same formula = 0 meV/atom
# energy of formation from the pure elements = 2.94 eV/f.u.
data_KReMo2
_chemical_formula_sum 'K2 Re2 Mo4'
_cell_length_a 3.1538
_cell_length_b 4.5326
_cell_length_c 10.4427
_cell_angle_alpha 90.00
_cell_angle_beta 90.00
_cell_angle_gamma 90.00
_space_group_name_H-M_alt 'C m m 2'
_space_group_IT_number 35
loop_
_space_group_symop_operation_xyz
'x,y,z'
'-x,-y,z'
'-x,y,z'
'x,-y,z'
'x+1/2,y+1/2,z'
'-x+1/2,-y+1/2,z'
'-x+1/2,y+1/2,z'
'x+1/2,-y+1/2,z'
loop_
_atom_site_label
_atom_site_fract_x
_atom_site_fract_y
_atom_site_fract_z
_atom_site_occupancy
K1 0.0000 0.0000 0.0000 1
Re1 0.0000 0.5000 0.7171 1
Mo1 0.0000 0.0000 0.5119 1
Mo2 0.0000 0.5000 0.3048 1